[1]
## K2TlPCO7 (GGA-PBE)

Data for a relaxed K2TlPCO7 crystal.

theoretical density	3.57	g cm⁻³
magnetization	0.1	μB/f.u.
raw formation energy	-1732	meV per atom
space group	P2_1/m, No. 11

Lattice parameters (Å, degrees): 7.2313 5.6112 10.0464 90.72 90.00 90.00
With the nearest neighbours (Å) after each atom.
Element x y z (fractional)
K (0.0198, 0.2508, 0.7818)  5 O 2.62-2.89
K (0.4802, 0.2508, 0.7818)  5 O 2.62-2.89
K (0.5198, 0.7492, 0.2182)  5 O 2.62-2.89
K (0.9802, 0.7492, 0.2182)  5 O 2.62-2.89
Tl (0.7500, 0.7845, 0.6220)  6 O 2.23-2.40
Tl (0.2500, 0.2155, 0.3780)  6 O 2.23-2.40
P (0.2500, 0.7232, 0.5722)  4 O 1.55-1.59
P (0.7500, 0.2768, 0.4278)  4 O 1.55-1.59
C (0.7500, 0.7405, 0.8950)  3 O 1.26-1.34
C (0.2500, 0.2595, 0.1050)  3 O 1.26-1.34
O (0.2500, 0.2986, 0.9819)  1 C 1.26
O (0.7500, 0.9531, 0.8430)  1 C 1.31
O (0.7500, 0.5590, 0.8072)  1 C 1.34
O (0.0763, 0.8059, 0.6504)  1 P 1.55
O (0.4237, 0.8059, 0.6504)  1 P 1.55
O (0.7500, 0.1771, 0.5731)  1 P 1.57
O (0.2500, 0.4408, 0.5620)  1 P 1.59
O (0.7500, 0.5592, 0.4380)  1 P 1.59
O (0.2500, 0.8229, 0.4269)  1 P 1.57
O (0.5763, 0.1941, 0.3496)  1 P 1.55
O (0.9237, 0.1941, 0.3496)  1 P 1.55
O (0.2500, 0.4410, 0.1928)  1 C 1.34
O (0.2500, 0.0469, 0.1570)  1 C 1.31
O (0.7500, 0.7014, 0.0181)  1 C 1.26

***

[2]
## Rb3Hg2Pt (GGA-PBE)

Data for a relaxed Rb3Hg2Pt crystal.

theoretical density	5.28	g cm⁻³
magnetization	0.0	μB/f.u.
ΔE_f	-0.146	eV per atom
space group	C2/c, No. 15

Lattice parameters (Å, degrees): 7.6057 7.6057 11.1453 65.79 65.79 80.89
With the nearest neighbours (Å) after each atom.
Element x y z (fractional)
Rb (0.3474, 0.6526, 0.2500)  1 Pt 3.31
Rb (0.6526, 0.3474, 0.7500)  1 Pt 3.31
Rb (0.1210, 0.2489, 0.0305)  2 Pt 3.34-3.49
Rb (0.7511, 0.8790, 0.4695)  2 Pt 3.34-3.49
Rb (0.8790, 0.7511, 0.9695)  2 Pt 3.34-3.49
Rb (0.2489, 0.1210, 0.5305)  2 Pt 3.34-3.49
Hg (0.8685, 0.4441, 0.3625)  1 Pt 2.72
Hg (0.5559, 0.1315, 0.1375)  1 Pt 2.72
Hg (0.4441, 0.8685, 0.8625)  1 Pt 2.72
Hg (0.1315, 0.5559, 0.6375)  1 Pt 2.72
Pt (0.6828, 0.3172, 0.2500)  2 Hg 2.72
Pt (0.3172, 0.6828, 0.7500)  2 Hg 2.72

***

Q: What is the magnetization in the second record?
A: 0.0 μB/f.u.

***

Copy entry 2 word for word.
## Rb3Hg2Pt (GGA-PBE)

Data for a relaxed Rb3Hg2Pt crystal.

theoretical density	5.28	g cm⁻³
magnetization	0.0	μB/f.u.
ΔE_f	-0.146	eV per atom
space group	C2/c, No. 15

Lattice parameters (Å, degrees): 7.6057 7.6057 11.1453 65.79 65.79 80.89
With the nearest neighbours (Å) after each atom.
Element x y z (fractional)
Rb (0.3474, 0.6526, 0.2500)  1 Pt 3.31
Rb (0.6526, 0.3474, 0.7500)  1 Pt 3.31
Rb (0.1210, 0.2489, 0.0305)  2 Pt 3.34-3.49
Rb (0.7511, 0.8790, 0.4695)  2 Pt 3.34-3.49
Rb (0.8790, 0.7511, 0.9695)  2 Pt 3.34-3.49
Rb (0.2489, 0.1210, 0.5305)  2 Pt 3.34-3.49
Hg (0.8685, 0.4441, 0.3625)  1 Pt 2.72
Hg (0.5559, 0.1315, 0.1375)  1 Pt 2.72
Hg (0.4441, 0.8685, 0.8625)  1 Pt 2.72
Hg (0.1315, 0.5559, 0.6375)  1 Pt 2.72
Pt (0.6828, 0.3172, 0.2500)  2 Hg 2.72
Pt (0.3172, 0.6828, 0.7500)  2 Hg 2.72